First-principles (PBE-GGA) data for crystalline Ba5CaSb4 at its relaxed geometry, as listed in Alexandria.

Its total energy is -74.6 eV/cell. The calculation puts the excess energy over the best structure of this formula in the dataset at 27 meV per atom. The calculation puts the density of states at the Fermi level at 3.46 states/eV per cell. Its crystal system is orthorhombic.

The structure belongs to space group Immm (No. 71); the cell edges are 5.246, 11.839 and 13.419 Å and the angles 90.00°, 90.00° and 90.00°. The asymmetric unit holds Ba at (0.000, 0.000, 0.000), Ba at (0.000, 0.312, 0.170), Ca at (0.000, 0.000, 0.500), Sb at (0.000, 0.000, 0.266) and Sb at (0.000, 0.271, 0.500).